Material: KReAs2
Method: DFT, GGA-PBEsol
State: optimized geometry

Cell lengths 8.412, 8.412, 8.412 Å; angles 158.41, 157.50, 31.39 degrees
Fractional coordinates of all 4 atoms:
1 K 0.000 0.000 0.000
2 Re 0.242 0.742 0.500
3 As 0.358 0.358 0.000
4 As 0.668 0.168 0.500

Calculated values
formation enthalpy at 0 K = 19 meV per atom
D(E_F) = 2.9 states/eV/f.u.
offset from the most stable computed form = 0 kJ/mol of formula units
symmetry = Imm2

=====

Material: CaGaAgSb2
Method: DFT, GGA-PBEsol
State: optimized geometry

Cell lengths 5.631, 5.631, 5.324 Å; angles 90.00, 90.00, 90.00 degrees
Fractional coordinates of all 5 atoms:
1 Ca 0.000 0.000 0.000
2 Ga 0.500 0.500 0.500
3 Ag 0.000 0.000 0.500
4 Sb 0.000 0.500 0.000
5 Sb 0.500 0.000 0.000

Calculated values
D(E_F) = 2.8 states/eV/f.u.
E_form (uncorrected) = 0.726 eV per atom
symmetry = P4/mmm

=====

Material: ZnCd
Method: DFT, GGA-PBEsol
State: optimized geometry

Cell lengths 5.392, 5.392, 4.286 Å; angles 90.00, 90.00, 144.84 degrees
Fractional coordinates of all 4 atoms:
1 Zn 0.067 0.933 0.750
2 Zn 0.933 0.067 0.250
3 Cd 0.334 0.666 0.750
4 Cd 0.666 0.334 0.250

Calculated values
formation enthalpy at 0 K = 78 meV per atom
D(E_F) = 0.6 states/eV/f.u.
symmetry = Cmcm

=====

Material: NaCoP2
Method: DFT, GGA-PBEsol
State: optimized geometry

Cell lengths 6.117, 6.117, 6.117 Å; angles 119.00, 119.00, 91.74 degrees
Fractional coordinates of all 8 atoms:
1 Na 0.000 0.000 0.000
2 Na 0.750 0.250 0.500
3 Co 0.250 0.750 0.500
4 Co 0.500 0.500 0.000
5 P 0.234 0.625 0.109
6 P 0.375 0.484 0.609
7 P 0.516 0.125 0.891
8 P 0.875 0.766 0.391

Calculated values
formation enthalpy at 0 K = -15 meV per atom
D(E_F) = 2.6 states/eV/f.u.
symmetry = I-42d